Record 1
80
Lattice="16.1649 0.0000 0.0000 -5.3883 15.2404 0.0000 -5.3883 -7.6202 13.1986" Properties=species:S:1:pos:R:3 comment="Pm12Nd3Sn5 | Alexandria via LeMat-Bulk | PBE | optimized geometry" formation_enthalpy_0k_ev_per_atom=0.28 pbc="T T T"
Pm 9.7287 -5.1720 11.6270
Pm 11.8245 3.6732 3.6933
Pm 11.3828 7.3894 2.2691
Pm -6.4362 3.9471 9.5053
Pm -2.7308 -6.1732 12.5617
Pm 3.3003 9.7007 0.9347
Pm -4.9099 6.7979 7.2362
Pm 1.6463 1.2250 7.9337
Pm 3.3003 5.7705 1.3344
Pm -1.0479 8.8452 5.2649
Pm -1.6463 -3.9471 9.5053
Pm 7.4763 7.8510 2.2691
Pm 0.4784 9.3848 8.8684
Pm 2.0880 -2.0805 12.2639
Pm -2.2157 -0.8223 5.9624
Pm 8.1192 13.7935 0.6369
Pm 7.0346 2.4482 1.5716
Pm 5.3516 2.5350 7.5340
Pm -0.4784 0.9423 2.9060
Pm 5.8667 6.6779 10.2926
Pm -0.6062 5.5398 0.9347
Pm 2.6575 10.1552 5.6646
Pm 6.4362 -1.2250 7.9337
Pm 10.8133 -3.6382 8.1709
Pm -2.0880 -0.2308 10.9295
Pm 3.7421 6.3953 5.2649
Pm 0.0367 5.0852 5.6646
Pm 2.0880 1.8497 11.8642
Pm 2.2157 5.8556 8.8684
Pm 5.9945 -1.8497 11.8642
Pm 5.9945 2.0805 12.2639
Pm -4.3404 12.7923 1.5716
Pm -5.3516 6.1732 12.5617
Pm 3.1726 1.7646 4.3302
Pm -2.7308 3.6382 8.1709
Pm 8.5609 -0.9423 2.9060
Pm -3.1726 8.5625 10.2926
Pm -5.9945 0.2308 10.9295
Pm 7.0346 11.5673 3.6933
Pm 10.2982 0.8223 5.9624
Pm -1.6463 5.1720 11.6270
Pm 2.7308 -2.5350 7.5340
Pm 4.9099 -1.7646 4.3302
Pm 10.7400 1.4470 0.6369
Pm 8.1191 3.9820 5.0277
Pm -5.4250 11.2584 5.0277
Pm -0.6061 9.4699 1.3344
Pm 7.6041 8.4425 7.2362
Sn 1.3471 4.7626 11.5488
Sn -4.0412 8.5728 4.9495
Sn 8.0825 0.0000 0.0000
Sn 6.7354 -4.7626 11.5488
Sn 9.4295 -0.9525 8.2491
Sn 6.7354 6.6677 4.9495
Sn -1.3471 0.9525 8.2491
Sn -5.3883 3.8101 6.5993
Sn 5.3883 -3.8101 6.5993
Sn -1.3471 12.3829 1.6498
Sn 5.3883 7.6202 0.0000
Sn 6.7354 3.8101 9.8990
Sn -2.6942 -3.8101 6.5993
Sn 1.3471 -3.8101 9.8990
Sn -2.6942 7.6202 0.0000
Sn 0.0000 0.0000 0.0000
Sn 4.0412 2.8576 1.6498
Sn 2.6942 3.8101 6.5993
Sn 4.0412 11.4303 3.2997
Sn -1.3471 3.8101 3.2997
Nd -1.3471 6.6677 8.2491
Nd 12.1237 0.0000 3.2997
Nd 4.0412 0.0000 9.8990
Nd -6.7354 7.6202 9.8990
Nd -4.0412 2.8576 11.5488
Nd 9.4295 4.7626 1.6498
Nd 4.0412 8.5728 8.2491
Nd 1.3471 -0.9525 4.9495
Nd 9.4295 10.4778 1.6498
Nd 6.7354 0.9525 4.9495
Nd 1.3471 7.6202 3.2997
Nd -4.0412 -2.8576 11.5488

Record 2
4
Lattice="-3.4284 0.5009 -2.0371 0.2340 -3.7874 -1.3251 -5.7312 -3.4335 8.8012" Properties=species:S:1:pos:R:3 comment="BaEu2I | Alexandria via LeMat-Bulk | PBE | optimized geometry" raw_formation_energy_ev_per_fu=-1.96 pbc="T T T"
Eu -1.1555 -0.6922 1.7745
Eu -4.5757 -2.7412 7.0267
Ba -4.4628 -3.3600 2.7195
I -1.5972 -1.6432 -1.6811

Record 3
4
Lattice="-0.6907 -5.1992 1.9658 -0.4162 -4.3067 -3.5570 4.1690 -3.7199 -0.3939" Properties=species:S:1:pos:R:3 comment="LaPrNdHg | Alexandria via LeMat-Bulk | PBE | optimized geometry" formation_enthalpy_0k_ev_per_atom=-0.07 de_polymorph_kcal_per_mol_atoms=3.75 pbc="T T T"
Nd 2.2966 -9.9194 -1.4888
Pr 0.0000 0.0000 0.0000
La 0.7655 -3.3065 -0.4963
Hg 1.5310 -6.6129 -0.9925

The density results, record by record, are as follows: 5.65; 5.29; 8.35 Mg/m³.